# V7Cr2N2, relaxed, DFT PBE-GGA
# **Magnetic moment**: 0.000 μB per formula unit
# **Formation energy (no corrections)**: -0.200 eV/atom
# **Calculated volume**: 11.62 Å³ per atom
data_V7Cr2N2
_cell_length_a 2.747
_cell_length_b 12.784
_cell_length_c 7.277
_cell_angle_alpha 90.00
_cell_angle_beta 90.00
_cell_angle_gamma 90.00
_symmetry_space_group_name_H-M 'I m m 2'
_symmetry_Int_Tables_number 44
_symmetry_space_group_name_Hall 'I 2 -2'
loop_
_atom_site_label
_atom_site_fract_x
_atom_site_fract_y
_atom_site_fract_z
_atom_site_occupancy
V1 0.000 0.000 0.000 1
V2 0.000 0.145 0.382 1
V3 0.000 0.306 0.586 1
V4 0.000 0.363 0.241 1
Cr1 0.000 0.000 0.585 1
Cr2 0.000 0.500 0.765 1
N1 0.000 0.229 0.871 1

***

# TbPaNiOs, relaxed, DFT PBE-GGA
# **Magnetic moment**: 0.001 μB per formula unit
# **Calculated volume**: 19.92 Å³ per atom
# **ΔH_f (0 K)**: -0.93 eV/f.u.
data_TbPaNiOs
_cell_length_a 6.831
_cell_length_b 6.831
_cell_length_c 6.831
_cell_angle_alpha 90.00
_cell_angle_beta 90.00
_cell_angle_gamma 90.00
_symmetry_space_group_name_H-M 'F -4 3 m'
_symmetry_Int_Tables_number 216
_symmetry_space_group_name_Hall 'F -4 2 3'
loop_
_atom_site_label
_atom_site_fract_x
_atom_site_fract_y
_atom_site_fract_z
_atom_site_occupancy
Tb1 0.000 0.000 0.000 1
Pa1 0.000 0.000 0.500 1
Ni1 0.250 0.250 0.750 1
Os1 0.250 0.250 0.250 1

***

# AcTmPb2, relaxed, DFT PBE-GGA
# **Magnetic moment**: 0.000 μB per formula unit
# **Calculated volume**: 32.86 Å³ per atom
# **ΔH_f (0 K)**: -1.21 eV/f.u.
data_AcTmPb2
_cell_length_a 3.8479
_cell_length_b 3.8479
_cell_length_c 30.7564
_cell_angle_alpha 90.00
_cell_angle_beta 90.00
_cell_angle_gamma 120.00
_symmetry_space_group_name_H-M 'R -3 m'
_symmetry_Int_Tables_number 166
_symmetry_space_group_name_Hall '-R 3 2"'
loop_
_atom_site_label
_atom_site_fract_x
_atom_site_fract_y
_atom_site_fract_z
_atom_site_occupancy
Ac1 0.0000 0.0000 0.0000 1
Tm1 0.0000 0.0000 0.5000 1
Pb1 0.0000 0.0000 0.2429 1